[1]
## K2SrCl (GGA-PBE)

Data for a geometry-optimized K2SrCl structure.

The structure in extended XYZ format:
```
4
Lattice="-3.142 3.000 -0.515 0.192 -2.349 3.685 7.196 8.390 4.971" Properties=species:S:1:pos:R:3 pbc="T T T"
K 0.392 2.503 2.875
K 6.723 7.840 4.645
Sr 4.078 4.755 2.817
Cl 3.846 6.529 5.261
```

Energy relative to the elements, uncorrected ... -3.2 eV/f.u.
Total magnetization ... 0.0 μB/cell
Volume ... 50.243 Å³ per atom
Space group ... Cmm2

***

[2]
## KSrCl3 (GGA-PBE)

Data for a geometry-optimized KSrCl3 structure.

The structure in extended XYZ format:
```
20
Lattice="7.907 0.040 -0.013 3.907 6.874 -0.013 3.883 2.273 12.327" Properties=species:S:1:pos:R:3 pbc="T T T"
K 7.938 1.715 7.813
Cl 6.487 1.262 0.751
K 7.758 7.472 4.488
Cl 2.361 1.802 1.664
Cl 13.335 7.385 10.636
Sr 3.953 0.020 -0.007
K 3.441 4.945 1.649
Cl 8.228 5.204 2.270
Cl 6.219 6.174 6.915
Sr 7.790 2.466 3.068
Cl 9.478 3.012 5.385
Cl 9.209 7.924 11.549
Cl 10.508 5.761 8.434
Sr 7.907 6.721 9.232
K 12.255 4.241 10.651
Cl 5.188 3.426 3.866
Cl 7.469 3.982 10.030
Sr 3.895 4.573 6.157
Cl 11.028 6.874 4.473
Cl 4.669 2.312 7.827
```

Energy relative to the elements, uncorrected ... -11.3 eV/f.u.
Total magnetization ... 0.0 μB/cell
Volume ... 33.424 Å³ per atom
Space group ... C2/c

***

[3]
## K2SrCl (GGA-PBE)

Data for a geometry-optimized K2SrCl structure.

The structure in extended XYZ format:
```
4
Lattice="7.389 0.005 0.000 -4.337 5.982 0.000 0.000 0.000 4.511" Properties=species:S:1:pos:R:3 pbc="T T T"
Sr 3.695 0.002 2.255
K 1.526 2.994 0.000
K 0.000 0.000 0.000
Cl -2.169 2.991 2.255
```

Energy relative to the elements, uncorrected ... -2.2 eV/f.u.
Total magnetization ... 0.0 μB/cell
Volume ... 49.876 Å³ per atom
Space group ... Cmmm

***

[4]
## KSrCl (GGA-PBE)

Data for a geometry-optimized KSrCl structure.

The structure in extended XYZ format:
```
3
Lattice="9.000 0.022 -0.014 7.423 4.053 -0.010 1.577 -1.736 3.638" Properties=species:S:1:pos:R:3 pbc="T T T"
Sr 7.008 0.390 2.299
Cl 16.339 4.043 -0.003
K 11.075 1.982 1.295
```

Energy relative to the elements, uncorrected ... -3.3 eV/f.u.
Total magnetization ... 0.0 μB/cell
Volume ... 44.082 Å³ per atom
Space group ... Fmm2

***

[5]
## K2SrCl (GGA-PBE)

Data for a geometry-optimized K2SrCl structure.

The structure in extended XYZ format:
```
4
Lattice="2.932 -5.640 -2.242 -2.203 -2.923 -5.660 3.792 0.157 -5.571" Properties=species:S:1:pos:R:3 pbc="T T T"
Cl 0.000 0.000 0.000
K 3.390 -6.304 -10.104
Sr 2.260 -4.203 -6.736
K 1.130 -2.101 -3.368
```

Energy relative to the elements, uncorrected ... -1.3 eV/f.u.
Total magnetization ... 0.8 μB/cell
Volume ... 54.136 Å³ per atom
Space group ... Fm-3m

***

[6]
## K2SrCl (GGA-PBE)

Data for a geometry-optimized K2SrCl structure.

The structure in extended XYZ format:
```
4
Lattice="7.821 -0.015 0.015 6.663 4.094 0.015 3.827 1.078 6.667" Properties=species:S:1:pos:R:3 pbc="T T T"
K 9.962 2.806 2.847
Cl 4.578 1.289 1.674
Sr 13.733 3.868 5.023
K 13.677 3.853 0.531
```

Energy relative to the elements, uncorrected ... -2.8 eV/f.u.
Total magnetization ... 0.0 μB/cell
Volume ... 53.467 Å³ per atom
Space group ... C2/m

***

[7]
## KSrCl (GGA-PBE)

Data for a geometry-optimized KSrCl structure.

The structure in extended XYZ format:
```
3
Lattice="-3.689 6.636 2.947 -7.127 2.242 3.241 6.382 -5.031 -0.543" Properties=species:S:1:pos:R:3 pbc="T T T"
K -3.851 3.161 2.203
Sr -6.832 5.608 3.908
Cl -0.132 0.108 0.076
```

Energy relative to the elements, uncorrected ... -3.1 eV/f.u.
Total magnetization ... 0.0 μB/cell
Volume ... 39.799 Å³ per atom
Space group ... I4mm

***

[8]
## K2Sr2Cl (GGA-PBE)

Data for a geometry-optimized K2Sr2Cl structure.

The structure in extended XYZ format:
```
10
Lattice="8.313 0.000 0.000 0.000 8.313 0.000 0.000 0.000 8.266" Properties=species:S:1:pos:R:3 pbc="T T T"
K 6.798 5.671 0.000
Sr 5.622 6.847 4.133
Cl 4.156 4.156 0.000
Sr 6.847 2.691 4.133
Cl 0.000 0.000 0.000
Sr 2.691 1.466 4.133
Sr 1.466 5.622 4.133
K 2.641 6.798 0.000
K 5.671 1.515 0.000
K 1.515 2.641 0.000
```

Energy relative to the elements, uncorrected ... -2.3 eV/f.u.
Total magnetization ... 0.0 μB/cell
Volume ... 57.121 Å³ per atom
Space group ... P4/mbm

***

[9]
## K2SrCl (GGA-PBE)

Data for a geometry-optimized K2SrCl structure.

The structure in extended XYZ format:
```
4
Lattice="7.757 0.003 0.011 6.654 3.988 0.011 3.691 1.022 6.567" Properties=species:S:1:pos:R:3 pbc="T T T"
K 13.532 3.747 4.587
Sr 9.783 2.709 2.544
K 13.554 3.753 0.302
Cl 4.695 1.300 2.471
```

Energy relative to the elements, uncorrected ... -3.2 eV/f.u.
Total magnetization ... 0.0 μB/cell
Volume ... 50.721 Å³ per atom
Space group ... Cm

***

[10]
## K2SrCl (GGA-PBE)

Data for a geometry-optimized K2SrCl structure.

The structure in extended XYZ format:
```
4
Lattice="-2.135 1.204 -3.139 -2.903 -2.536 1.002 -4.782 7.968 6.307" Properties=species:S:1:pos:R:3 pbc="T T T"
Cl -2.519 -0.666 -1.068
K -0.791 1.318 1.043
Sr -4.910 3.318 2.085
K -3.991 6.651 5.264
```

Energy relative to the elements, uncorrected ... -3.3 eV/f.u.
Total magnetization ... 0.0 μB/cell
Volume ... 44.537 Å³ per atom
Space group ... P4/mmm

***

[11]
## KSr3Cl (GGA-PBE)

Data for a geometry-optimized KSr3Cl structure.

The structure in extended XYZ format:
```
5
Lattice="6.327 0.000 0.000 0.000 6.327 0.000 0.000 0.000 6.327" Properties=species:S:1:pos:R:3 pbc="T T T"
Sr 0.000 0.000 3.164
K 3.164 3.164 3.164
Sr 0.000 3.164 0.000
Sr 3.164 0.000 0.000
Cl 0.000 0.000 0.000
```

Energy relative to the elements, uncorrected ... -2.5 eV/f.u.
Total magnetization ... 0.0 μB/cell
Volume ... 50.661 Å³ per atom
Space group ... Pm-3m

***

[12]
## K3SrCl (GGA-PBE)

Data for a geometry-optimized K3SrCl structure.

The structure in extended XYZ format:
```
5
Lattice="6.473 0.000 0.000 0.000 6.473 0.000 0.000 0.000 6.473" Properties=species:S:1:pos:R:3 pbc="T T T"
Sr 3.237 3.237 3.237
K 0.000 0.000 3.237
Cl 0.000 0.000 0.000
K 0.000 3.237 0.000
K 3.237 0.000 0.000
```

Energy relative to the elements, uncorrected ... -3.0 eV/f.u.
Total magnetization ... 0.0 μB/cell
Volume ... 54.247 Å³ per atom
Space group ... Pm-3m

***

- Among the records above, which one has the lowest energy relative to the elements, uncorrected?
  KSrCl3

***

- Which value of total magnetization does entry 9 give?
  0.0 μB/cell